No. 1
The following is a DFT calculation (GGA-PBE) of a geometry-optimized CaP2PbCl structure.

abc: 5.586 5.586 5.809
angles: 90.00 90.00 90.00
Sites, in units of the cell vectors:
Ca  0.000  0.000  0.000
P  0.000  0.500  0.500
P  0.500  0.000  0.500
Pb  0.500  0.500  0.500
Cl  0.500  0.500  0.000

## Properties
**E_form (uncorrected)**: 0.9 eV/f.u.
**Symmetry**: P4/mmm

No. 2
The following is a DFT calculation (GGA-PBE) of a geometry-optimized CaP2PbCl structure.

abc: 5.564 5.564 5.251
angles: 90.00 90.00 90.00
Sites, in units of the cell vectors:
Ca  0.000  0.000  0.000
P  0.000  0.500  0.000
P  0.500  0.000  0.000
Pb  0.500  0.500  0.500
Cl  0.000  0.000  0.500

## Properties
**E_form (uncorrected)**: 0.7 eV/f.u.
**Symmetry**: P4/mmm

No. 3
The following is a DFT calculation (GGA-PBE) of a geometry-optimized CaPPbCl2 structure.

abc: 5.657 5.657 6.339
angles: 90.00 90.00 90.00
Sites, in units of the cell vectors:
Ca  0.000  0.000  0.000
P  0.500  0.500  0.000
Pb  0.500  0.500  0.500
Cl  0.000  0.500  0.500
Cl  0.500  0.000  0.500

## Properties
**E_form (uncorrected)**: -1.8 eV/f.u.
**Symmetry**: P4/mmm

No. 4
The following is a DFT calculation (GGA-PBE) of a geometry-optimized CaPPdCl2 structure.

abc: 4.914 4.914 4.783
angles: 90.00 90.00 90.00
Sites, in units of the cell vectors:
Ca  0.000  0.000  0.000
P  0.500  0.500  0.000
Pd  0.500  0.500  0.500
Cl  0.000  0.500  0.500
Cl  0.500  0.000  0.500

## Properties
**E_form (uncorrected)**: -3.0 eV/f.u.
**Symmetry**: P4/mmm

No. 5
The following is a DFT calculation (GGA-PBE) of a geometry-optimized CaPPdCl2 structure.

abc: 5.114 5.114 5.920
angles: 90.00 90.00 90.00
Sites, in units of the cell vectors:
Ca  0.000  0.000  0.000
P  0.000  0.000  0.500
Pd  0.500  0.500  0.500
Cl  0.000  0.500  0.000
Cl  0.500  0.000  0.000

## Properties
**E_form (uncorrected)**: -0.5 eV/f.u.
**Symmetry**: P4/mmm

No. 6
The following is a DFT calculation (GGA-PBE) of a geometry-optimized RbCaP2Cl structure.

abc: 5.570 5.570 5.511
angles: 90.00 90.00 90.00
Sites, in units of the cell vectors:
Rb  0.000  0.000  0.000
Ca  0.500  0.500  0.500
P  0.000  0.500  0.500
P  0.500  0.000  0.500
Cl  0.500  0.500  0.000

## Properties
**E_form (uncorrected)**: -1.4 eV/f.u.
**Symmetry**: P4/mmm

No. 7
The following is a DFT calculation (GGA-PBE) of a geometry-optimized RbCaP2Cl structure.

abc: 5.392 5.392 5.709
angles: 90.00 90.00 90.00
Sites, in units of the cell vectors:
Rb  0.000  0.000  0.000
Ca  0.500  0.500  0.500
P  0.000  0.500  0.000
P  0.500  0.000  0.000
Cl  0.000  0.000  0.500

## Properties
**E_form (uncorrected)**: 2.7 eV/f.u.
**Symmetry**: P4/mmm

No. 8
The following is a DFT calculation (GGA-PBE) of a geometry-optimized RbCaPCl2 structure.

abc: 5.703 5.703 5.639
angles: 90.00 90.00 90.00
Sites, in units of the cell vectors:
Rb  0.000  0.000  0.000
Ca  0.500  0.500  0.500
P  0.000  0.000  0.500
Cl  0.000  0.500  0.000
Cl  0.500  0.000  0.000

## Properties
**E_form (uncorrected)**: -1.4 eV/f.u.
**Symmetry**: P4/mmm